Below is crystalline Pm5PrDy3 at its relaxed geometry, with properties calculated at the PBE level.

Relative energy among the computed polymorphs: 0.2738 eV per atom
N(E_F): 26.104 states/eV per cell
Symmetry: No. 12
Energy of formation from the pure elements: 3.62 eV/f.u.
Final energy: -4.302 eV/atom

a = 9.458 Å, b = 9.458 Å, c = 12.442 Å
α = 126.58°, β = 126.58°, γ = 51.69°
Positions (direct):
Pm1 0.182 0.818 0.000
Pm2 0.194 0.194 0.061
Pm3 0.236 0.638 0.225
Pm4 0.362 0.764 0.775
Pm5 0.366 0.366 0.424
Pm6 0.634 0.634 0.576
Pm7 0.638 0.236 0.225
Pm8 0.764 0.362 0.775
Pm9 0.806 0.806 0.939
Pm10 0.818 0.182 0.000
Pr1 0.261 0.261 0.865
Pr2 0.739 0.739 0.135
Dy1 0.000 0.000 0.500
Dy2 0.111 0.111 0.314
Dy3 0.323 0.323 0.657
Dy4 0.500 0.500 0.000
Dy5 0.677 0.677 0.343
Dy6 0.889 0.889 0.686